Record 1
The following is a PBE calculation of a geometry-optimized CsY3Ga structure, from Alexandria via LeMat-Bulk.

**ΔH_f (0 K)**: 0.269 eV per atom
**Total DFT energy (no corrections)**: -21.9 eV per cell
**Energy relative to the lowest polymorph listed for this composition**: 0 kJ/mol of formula units
**M_tot**: 0.00 Bohr magnetons per cell

Geometry as POSCAR:
```
CsY3Ga
1.0
5.737 0.000 0.000
0.000 5.737 0.000
0.000 0.000 5.737
Cs Y Ga
1 3 1
Direct
0.500 0.500 0.500 Cs
0.000 0.500 0.000 Y
0.000 0.000 0.500 Y
0.500 0.000 0.000 Y
0.000 0.000 0.000 Ga
```

=====

Record 2
The following is a PBE calculation of a geometry-optimized LiCdGa structure, from Alexandria via LeMat-Bulk.

**ΔH_f (0 K)**: -0.181 eV per atom
**Total DFT energy (no corrections)**: -12.8 eV per cell
**Energy relative to the lowest polymorph listed for this composition**: 14 kJ/mol of formula units
**M_tot**: 0.00 Bohr magnetons per cell

Geometry as POSCAR:
```
LiCdGa
1.0
4.604 0.000 0.000
-2.302 3.989 0.005
0.000 -0.014 6.054
Li Cd Ga
2 2 2
Direct
0.333 0.666 0.391 Li
0.667 0.334 0.609 Li
0.666 0.333 0.126 Cd
0.334 0.667 0.874 Cd
0.000 0.000 0.719 Ga
0.000 0.000 0.281 Ga
```

=====

Record 3
The following is a PBE calculation of a geometry-optimized KTl2Te structure, from Alexandria via LeMat-Bulk.

**Total DFT energy (no corrections)**: -10.5 eV per cell
**Energy relative to the lowest polymorph listed for this composition**: 18 kJ/mol of formula units
**M_tot**: 0.00 Bohr magnetons per cell

Geometry as POSCAR:
```
KTl2Te
1.0
-0.176 3.444 2.608
-2.629 1.986 -2.800
-5.934 -2.943 3.484
K Te Tl
1 1 2
Direct
0.000 0.000 0.522 K
0.500 0.500 0.783 Te
0.000 0.000 0.994 Tl
0.500 0.500 0.201 Tl
```

=====

Record 4
The following is a PBE calculation of a geometry-optimized CePrMg4 structure, from Alexandria via LeMat-Bulk.

**ΔH_f (0 K)**: -0.051 eV per atom
**Total DFT energy (no corrections)**: -34.8 eV per cell
**Energy relative to the lowest polymorph listed for this composition**: 0 kJ/mol of formula units
**M_tot**: 1.83 Bohr magnetons per cell

Geometry as POSCAR:
```
CePrMg4
1.0
-3.206 0.994 4.120
-1.291 -6.415 0.544
6.459 -4.165 6.030
Ce Pr Mg
2 2 8
Direct
0.750 0.625 0.249 Ce
0.250 0.375 0.751 Ce
0.750 0.125 0.251 Pr
0.250 0.875 0.749 Pr
0.250 0.786 0.417 Mg
0.250 0.956 0.083 Mg
0.750 0.703 0.583 Mg
0.750 0.540 0.917 Mg
0.750 0.214 0.583 Mg
0.250 0.297 0.417 Mg
0.750 0.044 0.917 Mg
0.250 0.460 0.083 Mg
```

=====

Repeat the first record exactly.
The following is a PBE calculation of a geometry-optimized CsY3Ga structure, from Alexandria via LeMat-Bulk.

**ΔH_f (0 K)**: 0.269 eV per atom
**Total DFT energy (no corrections)**: -21.9 eV per cell
**Energy relative to the lowest polymorph listed for this composition**: 0 kJ/mol of formula units
**M_tot**: 0.00 Bohr magnetons per cell

Geometry as POSCAR:
```
CsY3Ga
1.0
5.737 0.000 0.000
0.000 5.737 0.000
0.000 0.000 5.737
Cs Y Ga
1 3 1
Direct
0.500 0.500 0.500 Cs
0.000 0.500 0.000 Y
0.000 0.000 0.500 Y
0.500 0.000 0.000 Y
0.000 0.000 0.000 Ga
```